Computed, not measured: a geometry-optimized Ce3InHg3 structure at the PBE level of DFT.

Cell: 9.3222 9.7033 8.5029 Å, 90.00 90.09 90.00°
Last column: nearest neighbours and their distance in Å.
Space group C2/m (No. 12)
Asymmetric unit:
Ce (0.0412, 0.0000, 0.2489)  2 Ce 2.72
Ce (0.2474, 0.3070, 0.7488)  1 Ce 2.72
In (0.2088, 0.5000, 0.0683)  3 Hg 3.07-3.11, 4 Ce 3.32-3.38
Hg (0.0000, 0.2569, 0.5000)  6 Ce 3.17-3.30, 2 Hg 3.20
Hg (0.0000, 0.2578, 0.0000)  2 In 3.11, 6 Ce 3.18-3.30
Hg (0.2219, 0.5000, 0.4291)  1 In 3.07, 2 Hg 3.20, 5 Ce 3.31-3.35

Computed properties:
- Calculated volume: 769.1 Å³/cell
- ΔE_f: -0.244 eV/atom

=====

Computed, not measured: a geometry-optimized Ce4InHg5 structure at the PBE level of DFT.

Cell: 16.4152 5.2007 6.5470 Å, 90.00 103.59 90.00°
Last column: nearest neighbours and their distance in Å.
Space group C2/m (No. 12)
Asymmetric unit:
Ce (0.0974, 0.0000, 0.3099)  8 Hg 3.09-3.45, 2 In 3.44
Ce (0.1917, 0.5000, 0.8427)  6 Hg 3.02-3.37
In (0.0000, 0.5000, 0.5000)  6 Hg 3.27-3.46, 6 Ce 3.41-3.44
Hg (0.0000, 0.5000, 0.0000)  2 In 3.27, 4 Hg 3.41, 6 Ce 3.45-3.53
Hg (0.0959, 0.0000, 0.8153)  5 Ce 3.02-3.32
Hg (0.2197, 0.5000, 0.3525)  3 Hg 3.25-3.45, 7 Ce 3.26-3.37

Computed properties:
- Calculated volume: 543.3 Å³/cell
- ΔE_f: -0.317 eV/atom

=====

Repeat the first record exactly.
Computed, not measured: a geometry-optimized Ce3InHg3 structure at the PBE level of DFT.

Cell: 9.3222 9.7033 8.5029 Å, 90.00 90.09 90.00°
Last column: nearest neighbours and their distance in Å.
Space group C2/m (No. 12)
Asymmetric unit:
Ce (0.0412, 0.0000, 0.2489)  2 Ce 2.72
Ce (0.2474, 0.3070, 0.7488)  1 Ce 2.72
In (0.2088, 0.5000, 0.0683)  3 Hg 3.07-3.11, 4 Ce 3.32-3.38
Hg (0.0000, 0.2569, 0.5000)  6 Ce 3.17-3.30, 2 Hg 3.20
Hg (0.0000, 0.2578, 0.0000)  2 In 3.11, 6 Ce 3.18-3.30
Hg (0.2219, 0.5000, 0.4291)  1 In 3.07, 2 Hg 3.20, 5 Ce 3.31-3.35

Computed properties:
- Calculated volume: 769.1 Å³/cell
- ΔE_f: -0.244 eV/atom